[1]
The following is a GGA-PBE calculation of a relaxed structure of CsNa2LiP, from Alexandria.

Lattice parameters (Å, degrees): 5.7716 5.7716 5.0456 90.00 90.00 90.00
With the nearest neighbours (Å) after each atom.
Fractional coordinates of all 5 atoms:
Cs 0.0000 0.0000 0.0000  8 Na 3.83, 4 Li 4.08
Na 0.0000 0.5000 0.5000  2 P 2.89
Na 0.5000 0.0000 0.5000  2 P 2.89
Li 0.5000 0.5000 0.0000  2 P 2.52
P 0.5000 0.5000 0.5000  2 Li 2.52

Summary:
Crystal system: tetragonal
Raw total energy, eV per atom: -2.34

***

[2]
The following is a GGA-PBE calculation of a relaxed structure of CsNaLiP, from Alexandria.

Lattice parameters (Å, degrees): 7.1720 7.1720 7.1720 37.87 37.87 37.87
With the nearest neighbours (Å) after each atom.
Fractional coordinates of all 4 atoms:
Cs 0.0000 0.0000 0.0000  1 Na 3.52, 3 P 3.71, 3 Li 3.72
Na 0.1763 0.1763 0.1763  3 Li 2.85, 3 P 2.85
Li 0.4620 0.4620 0.4620  3 P 2.69, 3 Na 2.85
P 0.7948 0.7948 0.7948  3 Li 2.69, 3 Na 2.85

Summary:
Crystal system: trigonal
Raw total energy, eV per atom: -2.73

***

[3]
The following is a GGA-PBE calculation of a relaxed structure of CsNaLi2P, from Alexandria.

Lattice parameters (Å, degrees): 5.0784 5.0784 5.7009 90.00 90.00 90.00
With the nearest neighbours (Å) after each atom.
Fractional coordinates of all 5 atoms:
Cs 0.0000 0.0000 0.0000  4 Na 3.59, 8 Li 3.82
Na 0.5000 0.5000 0.0000  2 P 2.85
Li 0.0000 0.5000 0.5000  2 P 2.54
Li 0.5000 0.0000 0.5000  2 P 2.54
P 0.5000 0.5000 0.5000  4 Li 2.54

Summary:
Crystal system: tetragonal
Raw total energy, eV per atom: -2.50

***

[4]
The following is a GGA-PBE calculation of a relaxed structure of CsNaLi2Pt, from Alexandria.

Lattice parameters (Å, degrees): 5.1448 5.1448 5.7193 90.00 90.00 90.00
With the nearest neighbours (Å) after each atom.
Fractional coordinates of all 5 atoms:
Cs 0.0000 0.0000 0.0000  4 Na 3.64, 8 Li 3.85
Na 0.5000 0.5000 0.0000  2 Pt 2.86
Li 0.0000 0.5000 0.5000  2 Pt 2.57
Li 0.5000 0.0000 0.5000  2 Pt 2.57
Pt 0.5000 0.5000 0.5000  4 Li 2.57, 2 Na 2.86

Summary:
Crystal system: tetragonal
Raw total energy, eV per atom: -2.45

***

[5]
The following is a GGA-PBE calculation of a relaxed structure of Cs2RbNaLi, from Alexandria.

Lattice parameters (Å, degrees): 7.6111 7.6111 7.2732 90.00 90.00 90.00
With the nearest neighbours (Å) after each atom.
Fractional coordinates of all 5 atoms:
Cs 0.0000 0.5000 0.0000  2 Li 3.81
Cs 0.5000 0.0000 0.0000  2 Li 3.81
Rb 0.0000 0.0000 0.5000  2 Li 3.64
Na 0.5000 0.5000 0.5000  8 Cs 5.26, 4 Rb 5.38
Li 0.0000 0.0000 0.0000  2 Rb 3.64, 4 Cs 3.81

Summary:
E above lowest polymorph, kJ per mole of atoms: 5.01
Crystal system: tetragonal

***

[6]
The following is a GGA-PBE calculation of a relaxed structure of Cs2RbNaLi, from Alexandria.

Lattice parameters (Å, degrees): 7.7841 7.7841 6.4088 90.00 90.00 90.00
With the nearest neighbours (Å) after each atom.
Fractional coordinates of all 5 atoms:
Cs 0.0000 0.5000 0.0000  2 Li 3.89
Cs 0.5000 0.0000 0.0000  2 Li 3.89
Rb 0.0000 0.0000 0.5000  8 Cs 5.04, 4 Na 5.50
Na 0.5000 0.5000 0.5000  2 Li 3.20
Li 0.5000 0.5000 0.0000  2 Na 3.20

Summary:
E above lowest polymorph, kJ per mole of atoms: 0.00
Crystal system: tetragonal

***

Calculated total magnetic moment in order - 0.00; 0.00; 0.00; 0.00; 0.00; 0.00 μB per cell